An optimized crystal structure of AcNdY2. Source: Alexandria via LeMat-Bulk, functional PBE-GGA.

Formation enthalpy at 0 K, kJ per mole of atoms: 5
DFT total energy, eV/atom: -5.399
Total magnetization, μB per formula unit: 0.0
Volume, Å³ per atom: 36.0
Excess energy over the best structure of this formula in the dataset, eV per formula unit: 0.10

abc: 12.1490 12.1490 12.1490
angles: 17.65 17.65 17.65
Closest atoms and distances in Å follow each position.
Fractional positions:
Ac 0.0000 0.0000 0.0000  6 Ac 3.73, 6 Y 3.76-3.78
Nd 0.8339 0.8339 0.8339  6 Y 3.59-3.60, 6 Nd 3.73
Y 0.2475 0.2475 0.2475  3 Nd 3.59, 6 Y 3.73, 3 Ac 3.76
Y 0.4200 0.4200 0.4200  3 Nd 3.60, 6 Y 3.73, 3 Ac 3.78